(1)
A geometry-optimized Ac2Sm3In4 structure, computed with PBE.

raw total energy	-4.0373	eV/atom
distance to the lowest polymorph of the same formula	98	meV/atom
ΔE_f	-0.33	eV per atom

Lattice parameters (Å, degrees): 9.458 9.458 9.346 90.00 90.00 134.46
Element x y z (fractional)
Ac1 0.110 0.890 0.923
Ac2 0.390 0.610 0.423
Ac3 0.610 0.390 0.577
Ac4 0.890 0.110 0.077
Sm1 0.000 0.000 0.500
Sm2 0.030 0.470 0.750
Sm3 0.470 0.030 0.250
Sm4 0.500 0.500 0.000
Sm5 0.530 0.970 0.750
Sm6 0.970 0.530 0.250
In1 0.182 0.818 0.537
In2 0.209 0.291 0.750
In3 0.291 0.209 0.250
In4 0.318 0.682 0.037
In5 0.682 0.318 0.963
In6 0.709 0.791 0.750
In7 0.791 0.709 0.250
In8 0.818 0.182 0.463

(2)
A geometry-optimized Ac2Sm3In structure, computed with PBE.

raw total energy	-4.2880	eV/atom
ΔE_f	-0.10	eV per atom

Lattice parameters (Å, degrees): 8.344 8.344 5.092 90.00 90.00 144.10
Element x y z (fractional)
Ac1 0.163 0.837 0.000
Ac2 0.837 0.163 0.000
Sm1 0.000 0.000 0.500
Sm2 0.343 0.657 0.500
Sm3 0.657 0.343 0.500
In1 0.500 0.500 0.000

(3)
A geometry-optimized Ac14SmIn structure, computed with PBE.

raw total energy	-4.0852	eV/atom
ΔE_f	-0.02	eV per atom

Lattice parameters (Å, degrees): 11.107 7.826 7.826 90.00 90.00 90.00
Element x y z (fractional)
Ac1 0.000 0.000 0.000
Ac2 0.000 0.000 0.499
Ac3 0.000 0.499 0.000
Ac4 0.000 0.499 0.499
Ac5 0.257 0.748 0.748
Ac6 0.258 0.251 0.747
Ac7 0.258 0.747 0.251
Ac8 0.260 0.251 0.251
Ac9 0.500 0.500 0.997
Ac10 0.500 0.997 0.500
Ac11 0.740 0.251 0.251
Ac12 0.742 0.251 0.747
Ac13 0.742 0.747 0.251
Ac14 0.743 0.748 0.748
Sm1 0.500 0.999 0.999
In1 0.500 0.500 0.500

Q: Look up the raw total energy of the third one.
A: -4.0852 eV/atom